Record 1
Density functional theory data (meta-GGA SCAN) for a crystal of Al2SiBr relaxed with PBEsol.

Cell lengths 3.000, 4.931, 4.931 Å; angles 90.00, 90.00, 90.00 degrees
Atoms (fractional coordinates):
Si1 0.500 0.000 0.000
Al1 0.000 0.500 0.000
Al2 0.000 0.000 0.500
Br1 0.500 0.500 0.500

Results
* uncorrected energy: -43.47 eV/cell
* Fermi-level density of states: 1.64 states/eV/cell
* size of the total moment: 0.00 μB per atom
* formation energy (no corrections): 36.4 kJ/mol of atoms

***

Record 2
Density functional theory data (meta-GGA SCAN) for a crystal of TcNi2Ag relaxed with PBEsol.

Cell lengths 2.572, 4.063, 5.024 Å; angles 90.00, 104.83, 90.00 degrees
Atoms (fractional coordinates):
Ni1 0.824 0.000 0.649
Ni2 0.688 0.500 0.376
Ag1 0.430 0.500 0.861
Tc1 0.095 0.000 0.191

Results
* uncorrected energy: -97.52 eV/cell
* Fermi-level density of states: 4.31 states/eV/cell
* formation enthalpy at 0 K: 314 meV/atom
* size of the total moment: 0.00 μB per atom

***

Record 3
Density functional theory data (meta-GGA SCAN) for a crystal of ZrAg4W relaxed with PBEsol.

Cell lengths 5.285, 5.285, 5.285 Å; angles 60.00, 60.00, 60.00 degrees
Atoms (fractional coordinates):
Ag1 0.375 0.874 0.375
W1 0.750 0.750 0.750
Ag2 0.375 0.375 0.375
Zr1 0.000 0.000 0.000
Ag3 0.375 0.375 0.874
Ag4 0.874 0.375 0.375

Results
* uncorrected energy: -222.36 eV/cell
* Fermi-level density of states: 4.12 states/eV/cell
* formation enthalpy at 0 K: 583 meV/atom
* size of the total moment: 0.55 μB per atom

***

Record 4
Density functional theory data (meta-GGA SCAN) for a crystal of SrMnC2 relaxed with PBEsol.

Cell lengths 4.161, 4.161, 4.161 Å; angles 60.00, 60.00, 60.00 degrees
Atoms (fractional coordinates):
C1 0.750 0.750 0.750
Sr1 0.500 0.500 0.500
C2 0.250 0.250 0.250
Mn1 0.000 0.000 0.000

Results
* uncorrected energy: -54.80 eV/cell
* Fermi-level density of states: 2.62 states/eV/cell
* formation enthalpy at 0 K: 1483 meV/atom
* size of the total moment: 0.63 μB per atom

***

Record 5
Density functional theory data (meta-GGA SCAN) for a crystal of Al2Hg relaxed with PBEsol.

Cell lengths 5.331, 5.331, 5.331 Å; angles 108.10, 108.10, 112.24 degrees
Atoms (fractional coordinates):
Al1 0.852 0.648 0.500
Hg1 0.750 0.750 0.000
Hg2 0.250 0.250 0.000
Al2 0.148 0.352 0.500
Al3 0.352 0.852 0.204
Al4 0.648 0.148 0.796

Results
* uncorrected energy: -166.45 eV/cell
* Fermi-level density of states: 1.84 states/eV/cell
* formation enthalpy at 0 K: 148 meV/atom
* size of the total moment: 0.00 μB per atom

***

Record 6
Density functional theory data (meta-GGA SCAN) for a crystal of CsAs2SeI relaxed with PBEsol.

Cell lengths 5.918, 6.855, 6.855 Å; angles 90.00, 90.00, 90.00 degrees
Atoms (fractional coordinates):
As1 0.000 0.500 0.000
Cs1 0.000 0.000 0.000
I1 0.500 0.500 0.500
Se1 0.500 0.000 0.000
As2 0.000 0.000 0.500

Results
* uncorrected energy: -128.38 eV/cell
* Fermi-level density of states: 7.74 states/eV/cell
* size of the total moment: 1.42 μB per atom
* formation energy (no corrections): 127.9 kJ/mol of atoms

***

Record 7
Density functional theory data (meta-GGA SCAN) for a crystal of BaLaPb relaxed with PBEsol.

Cell lengths 5.615, 5.615, 5.615 Å; angles 60.00, 60.00, 60.00 degrees
Atoms (fractional coordinates):
Ba1 0.000 0.000 0.000
Pb1 0.250 0.250 0.250
La1 0.500 0.500 0.500

Results
* uncorrected energy: -160.01 eV/cell
* Fermi-level density of states: 2.60 states/eV/cell
* formation enthalpy at 0 K: -525 meV/atom
* size of the total moment: 0.00 μB per atom

***

Record 8
Density functional theory data (meta-GGA SCAN) for a crystal of MgSi2Pt relaxed with PBEsol.

Cell lengths 2.746, 4.656, 5.684 Å; angles 114.18, 103.98, 90.00 degrees
Atoms (fractional coordinates):
Si1 0.285 0.285 0.570
Mg1 0.500 0.000 0.000
Pt1 0.000 0.500 0.000
Si2 0.715 0.715 0.430

Results
* uncorrected energy: -96.07 eV/cell
* Fermi-level density of states: 1.74 states/eV/cell
* size of the total moment: 0.00 μB per atom
* formation energy (no corrections): -21.1 kJ/mol of atoms

***

Record 9
Density functional theory data (meta-GGA SCAN) for a crystal of YPt3 relaxed with PBEsol.

Cell lengths 4.540, 5.344, 5.738 Å; angles 90.00, 90.00, 90.00 degrees
Atoms (fractional coordinates):
Pt1 0.000 0.714 0.500
Pt2 0.000 0.150 0.764
Pt3 0.500 0.850 0.264
Y1 0.000 0.643 0.000
Y2 0.500 0.357 0.500
Pt4 0.500 0.850 0.736
Pt5 0.000 0.150 0.236
Pt6 0.500 0.286 0.000

Results
* uncorrected energy: -484.94 eV/cell
* Fermi-level density of states: 5.63 states/eV/cell
* formation enthalpy at 0 K: -1012 meV/atom
* size of the total moment: 0.00 μB per atom

***

Record 10
Density functional theory data (meta-GGA SCAN) for a crystal of SrSc2Ag relaxed with PBEsol.

Cell lengths 3.434, 5.362, 6.488 Å; angles 114.40, 105.34, 90.00 degrees
Atoms (fractional coordinates):
Sc1 0.709 0.709 0.418
Sr1 0.500 0.000 0.000
Ag1 0.000 0.500 0.000
Sc2 0.291 0.291 0.582

Results
* uncorrected energy: -82.05 eV/cell
* Fermi-level density of states: 5.25 states/eV/cell
* formation enthalpy at 0 K: 18 meV/atom
* size of the total moment: 0.15 μB per atom

***

Record 11
Density functional theory data (meta-GGA SCAN) for a crystal of AsSe2N relaxed with PBEsol.

Cell lengths 5.796, 5.796, 5.796 Å; angles 98.51, 115.22, 115.22 degrees
Atoms (fractional coordinates):
N1 0.500 0.250 0.750
Se1 0.941 0.375 0.816
Se2 0.059 0.875 0.434
As1 0.500 0.750 0.250
As2 0.000 0.000 0.000
N2 0.000 0.500 0.500
Se3 0.559 0.184 0.125
Se4 0.441 0.566 0.625

Results
* uncorrected energy: -131.80 eV/cell
* Fermi-level density of states: 3.13 states/eV/cell
* size of the total moment: 0.00 μB per atom
* formation energy (no corrections): 90.2 kJ/mol of atoms

***

Record 12
Density functional theory data (meta-GGA SCAN) for a crystal of Mg2Co relaxed with PBEsol.

Cell lengths 8.234, 8.234, 8.234 Å; angles 60.00, 60.00, 60.00 degrees
Atoms (fractional coordinates):
Co1 0.924 0.924 0.228
Mg1 0.947 0.947 0.553
Co2 0.326 0.326 0.326
Co3 0.924 0.924 0.924
Mg2 0.303 0.697 0.697
Mg3 0.125 0.125 0.625
Co4 0.228 0.924 0.924
Mg4 0.303 0.697 0.303
Mg5 0.947 0.553 0.947
Mg6 0.947 0.553 0.553
Mg7 0.125 0.125 0.125
Mg8 0.625 0.125 0.125
Mg9 0.697 0.697 0.303
Co5 0.326 0.326 0.022
Mg10 0.697 0.303 0.697
Mg11 0.553 0.947 0.947
Mg12 0.125 0.625 0.125
Mg13 0.553 0.553 0.947
Co6 0.326 0.022 0.326
Mg14 0.553 0.947 0.553
Co7 0.924 0.228 0.924
Mg15 0.303 0.303 0.697
Mg16 0.697 0.303 0.303
Co8 0.022 0.326 0.326

Results
* uncorrected energy: -213.46 eV/cell
* Fermi-level density of states: 16.21 states/eV/cell
* formation enthalpy at 0 K: 190 meV/atom
* size of the total moment: 0.00 μB per atom

***

Record 13
Density functional theory data (meta-GGA SCAN) for a crystal of BaCuBi relaxed with PBEsol.

Cell lengths 4.671, 4.671, 9.491 Å; angles 90.00, 90.00, 120.00 degrees
Atoms (fractional coordinates):
Bi1 0.667 0.333 0.750
Cu1 0.667 0.333 0.250
Ba1 0.000 0.000 0.500
Ba2 0.000 0.000 0.000
Bi2 0.333 0.667 0.250
Cu2 0.333 0.667 0.750

Results
* uncorrected energy: -270.47 eV/cell
* Fermi-level density of states: 0.33 states/eV/cell
* formation enthalpy at 0 K: -635 meV/atom
* size of the total moment: 0.00 μB per atom

***

Record 14
Density functional theory data (meta-GGA SCAN) for a crystal of Cu3W relaxed with PBEsol.

Cell lengths 2.526, 4.569, 5.112 Å; angles 116.54, 104.30, 90.00 degrees
Atoms (fractional coordinates):
W1 0.000 0.646 0.000
Cu1 0.500 0.151 0.000
Cu2 0.242 0.260 0.484
Cu3 0.758 0.777 0.516

Results
* uncorrected energy: -113.70 eV/cell
* Fermi-level density of states: 3.00 states/eV/cell
* formation enthalpy at 0 K: 396 meV/atom
* size of the total moment: 0.00 μB per atom

***

Record 15
Density functional theory data (meta-GGA SCAN) for a crystal of AlFe3 relaxed with PBEsol.

Cell lengths 2.489, 4.684, 4.684 Å; angles 116.93, 100.20, 100.20 degrees
Atoms (fractional coordinates):
Fe1 0.500 0.000 0.500
Fe2 0.000 0.500 0.500
Fe3 0.500 0.500 0.000
Al1 0.000 0.000 0.000

Results
* uncorrected energy: -62.86 eV/cell
* Fermi-level density of states: 1.96 states/eV/cell
* formation enthalpy at 0 K: -181 meV/atom
* size of the total moment: 1.82 μB per atom

***

Record 16
Density functional theory data (meta-GGA SCAN) for a crystal of ZnAsP2S relaxed with PBEsol.

Cell lengths 4.701, 4.701, 4.620 Å; angles 90.00, 90.00, 90.00 degrees
Atoms (fractional coordinates):
S1 0.000 0.000 0.500
P1 0.500 0.000 0.000
P2 0.000 0.500 0.000
Zn1 0.500 0.500 0.500
As1 0.000 0.000 0.000

Results
* uncorrected energy: -59.10 eV/cell
* Fermi-level density of states: 3.40 states/eV/cell
* size of the total moment: 0.16 μB per atom
* formation energy (no corrections): 97.1 kJ/mol of atoms

***

Record 17
Density functional theory data (meta-GGA SCAN) for a crystal of HgPdPtI2 relaxed with PBEsol.

Cell lengths 5.021, 5.518, 5.518 Å; angles 90.00, 90.00, 90.00 degrees
Atoms (fractional coordinates):
I1 0.000 0.500 0.000
Pd1 0.500 0.000 0.000
I2 0.000 0.000 0.500
Pt1 0.500 0.500 0.500
Hg1 0.000 0.000 0.000

Results
* uncorrected energy: -238.10 eV/cell
* Fermi-level density of states: 3.89 states/eV/cell
* size of the total moment: 0.08 μB per atom
* formation energy (no corrections): 125.7 kJ/mol of atoms

***

Record 18
Density functional theory data (meta-GGA SCAN) for a crystal of Hg3Te2IBr relaxed with PBEsol.

Cell lengths 9.368, 10.182, 10.727 Å; angles 89.91, 90.00, 117.39 degrees
Atoms (fractional coordinates):
Br1 0.626 0.261 0.472
Hg1 0.818 0.249 0.203
Hg2 0.724 0.457 0.798
Hg3 0.977 0.963 0.202
Hg4 0.427 0.250 0.222
Hg5 0.177 0.750 0.778
Te1 0.302 0.047 0.746
Te2 0.734 0.046 0.748
Hg6 0.231 0.000 0.500
I1 0.115 0.243 0.463
I2 0.872 0.757 0.537
Te3 0.983 0.544 0.248
Br2 0.365 0.739 0.528
Br3 0.367 0.755 0.996
Hg7 0.483 0.507 0.503
I3 0.865 0.752 0.971
Hg8 0.014 0.037 0.798
Te4 0.439 0.456 0.752
Br4 0.611 0.245 0.004
Hg9 0.266 0.543 0.202
Te5 0.004 0.454 0.745
Hg10 0.739 0.000 0.500
I4 0.113 0.248 0.029
Hg11 0.569 0.751 0.797
Te6 0.550 0.546 0.255
Te7 0.688 0.954 0.252
Hg12 0.976 0.493 0.497
Te8 0.256 0.953 0.254

Results
* uncorrected energy: -1349.39 eV/cell
* size of the total moment: 0.00 μB per atom
* formation energy (no corrections): -29.6 kJ/mol of atoms

***

Record 19
Density functional theory data (meta-GGA SCAN) for a crystal of FeAgOs2 relaxed with PBEsol.

Cell lengths 4.309, 4.309, 4.309 Å; angles 60.00, 60.00, 60.00 degrees
Atoms (fractional coordinates):
Os1 0.750 0.750 0.750
Fe1 0.250 0.250 0.250
Os2 0.000 0.000 0.000
Ag1 0.500 0.500 0.500

Results
* uncorrected energy: -190.64 eV/cell
* Fermi-level density of states: 2.84 states/eV/cell
* formation enthalpy at 0 K: 654 meV/atom
* size of the total moment: 0.89 μB per atom

***

Record 20
Density functional theory data (meta-GGA SCAN) for a crystal of CaSc3Ag relaxed with PBEsol.

Cell lengths 4.952, 4.952, 4.952 Å; angles 90.00, 90.00, 90.00 degrees
Atoms (fractional coordinates):
Ca1 0.000 0.000 0.000
Sc1 0.000 0.500 0.000
Sc2 0.500 0.000 0.000
Ag1 0.500 0.500 0.500
Sc3 0.000 0.000 0.500

Results
* uncorrected energy: -77.34 eV/cell
* Fermi-level density of states: 3.86 states/eV/cell
* formation enthalpy at 0 K: 1280 meV/atom
* size of the total moment: 0.00 μB per atom